Version P
PBE with a Hubbard U VSe2F, relaxed; symmetry = R-3m (166); crystal system = trigonal
1.0
1.4877 0.8590 9.1540
-1.4877 0.8590 9.1540
0.0000 -1.7179 9.1540
V Se F
1 2 1
Direct
0.0000 0.0000 0.0000 V
0.0931 0.0931 0.0931 Se
0.9069 0.9069 0.9069 Se
0.5000 0.5000 0.5000 F

***

Version Q
PBE with a Hubbard U VSe2F, relaxed; symmetry = I-42d (122); crystal system = tetragonal
1.0
-2.9332 2.9332 5.4810
2.9332 -2.9332 5.4810
2.9332 2.9332 -5.4810
V Se F
2 4 2
Direct
0.0000 0.0000 0.0000 V
0.7500 0.2500 0.5000 V
0.0930 0.6250 0.9680 Se
0.3750 0.3430 0.4680 Se
0.6570 0.1250 0.0320 Se
0.8750 0.9070 0.5320 Se
0.2500 0.7500 0.5000 F
0.5000 0.5000 0.0000 F

***

If you had to bet on the most stable structure above, which would it be? Bet on version Q.